(1)
Material: CdRh
Method: DFT, PBE
State: optimized geometry

Unit cell a=7.422 b=7.422 c=7.422 alpha=90.00 beta=90.00 gamma=90.00
Sites, in units of the cell vectors:
Cd: 0.000 0.250 0.500
Cd: 0.000 0.750 0.500
Cd: 0.250 0.500 0.000
Cd: 0.500 0.000 0.250
Cd: 0.500 0.000 0.750
Cd: 0.750 0.500 0.000
Rh: 0.000 0.500 0.250
Rh: 0.000 0.500 0.750
Rh: 0.250 0.000 0.500
Rh: 0.500 0.250 0.000
Rh: 0.500 0.750 0.000
Rh: 0.750 0.000 0.500

Computed properties:
- Formation energy from the elements: 1195.5 meV/atom

(2)
Material: CoPRh2C
Method: DFT, PBE
State: optimized geometry

Unit cell a=4.091 b=4.091 c=3.747 alpha=90.00 beta=90.00 gamma=90.00
Sites, in units of the cell vectors:
Co: 0.000 0.000 0.000
P: 0.500 0.500 0.000
Rh: 0.000 0.500 0.500
Rh: 0.500 0.000 0.500
C: 0.000 0.000 0.500

Computed properties:
- Formation energy from the elements: 315.3 meV/atom

(3)
Material: SmTm3Co
Method: DFT, PBE
State: optimized geometry

Unit cell a=5.221 b=5.221 c=5.221 alpha=90.00 beta=90.00 gamma=90.00
Sites, in units of the cell vectors:
Sm: 0.000 0.000 0.000
Tm: 0.000 0.500 0.500
Tm: 0.500 0.000 0.500
Tm: 0.500 0.500 0.000
Co: 0.500 0.500 0.500

Computed properties:
- Relative energy among the computed polymorphs: 56.7 meV per atom
- Formation energy from the elements: -54.5 meV/atom

(4)
Material: Tc2HgAs
Method: DFT, PBE
State: optimized geometry

Unit cell a=9.746 b=9.746 c=9.746 alpha=155.98 beta=155.98 gamma=34.23
Sites, in units of the cell vectors:
Tc: 0.032 0.625 0.907
Tc: 0.375 0.282 0.407
Tc: 0.718 0.125 0.093
Tc: 0.875 0.968 0.593
Hg: 0.250 0.750 0.500
Hg: 0.500 0.500 0.000
As: 0.000 0.000 0.000
As: 0.750 0.250 0.500

Computed properties:
- Relative energy among the computed polymorphs: 535.4 meV per atom
- Formation energy from the elements: 666.6 meV/atom

(5)
Material: Li2MnRh
Method: DFT, PBE
State: optimized geometry

Unit cell a=4.217 b=4.217 c=4.217 alpha=60.00 beta=60.00 gamma=60.00
Sites, in units of the cell vectors:
Li: 0.250 0.250 0.250
Li: 0.750 0.750 0.750
Mn: 0.000 0.000 0.000
Rh: 0.500 0.500 0.500

Computed properties:
- Relative energy among the computed polymorphs: 124.8 meV per atom
- Formation energy from the elements: 68.3 meV/atom

(6)
Material: CoHg3Rh
Method: DFT, PBE
State: optimized geometry

Unit cell a=4.861 b=4.861 c=4.861 alpha=90.00 beta=90.00 gamma=90.00
Sites, in units of the cell vectors:
Co: 0.000 0.000 0.000
Hg: 0.000 0.000 0.500
Hg: 0.000 0.500 0.000
Hg: 0.500 0.000 0.000
Rh: 0.500 0.500 0.500

Computed properties:
- Relative energy among the computed polymorphs: 0.0 meV per atom
- Formation energy from the elements: 925.2 meV/atom

(7)
Material: CsLaS2N
Method: DFT, PBE
State: optimized geometry

Unit cell a=5.675 b=5.675 c=5.100 alpha=90.00 beta=90.00 gamma=90.00
Sites, in units of the cell vectors:
Cs: 0.000 0.000 0.000
La: 0.500 0.500 0.500
S: 0.000 0.500 0.500
S: 0.500 0.000 0.500
N: 0.500 0.500 0.000

Computed properties:
- Formation energy without anion corrections: -0.46 eV per atom
- Relative energy among the computed polymorphs: 0.0 meV per atom

(8)
Material: PmUS2
Method: DFT, PBE
State: optimized geometry

Unit cell a=3.889 b=3.889 c=13.474 alpha=90.00 beta=90.00 gamma=120.00
Sites, in units of the cell vectors:
Pm: 0.333 0.667 0.250
Pm: 0.667 0.333 0.750
U: 0.000 0.000 0.000
U: 0.000 0.000 0.500
S: 0.333 0.667 0.619
S: 0.333 0.667 0.881
S: 0.667 0.333 0.119
S: 0.667 0.333 0.381

Computed properties:
- Formation energy without anion corrections: -1.65 eV per atom
- Relative energy among the computed polymorphs: 31.3 meV per atom

(9)
Material: KMoRu
Method: DFT, PBE
State: optimized geometry

Unit cell a=4.440 b=4.440 c=4.440 alpha=60.00 beta=60.00 gamma=60.00
Sites, in units of the cell vectors:
K: 0.000 0.000 0.000
Mo: 0.250 0.250 0.250
Ru: 0.500 0.500 0.500

Computed properties:
- Relative energy among the computed polymorphs: 940.7 meV per atom
- Formation energy from the elements: 1737.4 meV/atom

(10)
Material: TbY6Er12
Method: DFT, PBE
State: optimized geometry

Unit cell a=8.765 b=8.765 c=8.765 alpha=98.60 beta=98.60 gamma=98.60
Sites, in units of the cell vectors:
Tb: 0.000 0.000 0.000
Y: 0.204 0.204 0.743
Y: 0.204 0.743 0.204
Y: 0.257 0.796 0.796
Y: 0.743 0.204 0.204
Y: 0.796 0.257 0.796
Y: 0.796 0.796 0.257
Er: 0.118 0.500 0.882
Er: 0.118 0.882 0.500
Er: 0.185 0.472 0.472
Er: 0.472 0.185 0.472
Er: 0.472 0.472 0.185
Er: 0.500 0.118 0.882
Er: 0.500 0.882 0.118
Er: 0.528 0.528 0.815
Er: 0.528 0.815 0.528
Er: 0.815 0.528 0.528
Er: 0.882 0.118 0.500
Er: 0.882 0.500 0.118

Computed properties:
- Relative energy among the computed polymorphs: 20.3 meV per atom
- Formation energy from the elements: 480.5 meV/atom

(11)
Material: TaTe2Os
Method: DFT, PBE
State: optimized geometry

Unit cell a=7.810 b=7.810 c=7.810 alpha=153.62 beta=150.47 gamma=40.01
Sites, in units of the cell vectors:
Ta: 0.000 0.000 0.000
Te: 0.341 0.841 0.500
Te: 0.599 0.599 0.000
Os: 0.878 0.378 0.500

Computed properties:
- Formation energy without anion corrections: 0.29 eV per atom
- Relative energy among the computed polymorphs: 261.5 meV per atom

(12)
Material: Ac3Cd2Hg3
Method: DFT, PBE
State: optimized geometry

Unit cell a=6.507 b=6.507 c=16.414 alpha=90.00 beta=90.00 gamma=134.63
Sites, in units of the cell vectors:
Ac: 0.093 0.907 0.604
Ac: 0.093 0.907 0.896
Ac: 0.372 0.628 0.750
Ac: 0.628 0.372 0.250
Ac: 0.907 0.093 0.104
Ac: 0.907 0.093 0.396
Cd: 0.205 0.795 0.100
Cd: 0.205 0.795 0.400
Cd: 0.795 0.205 0.600
Cd: 0.795 0.205 0.900
Hg: 0.351 0.649 0.250
Hg: 0.388 0.612 0.542
Hg: 0.388 0.612 0.958
Hg: 0.612 0.388 0.042
Hg: 0.612 0.388 0.458
Hg: 0.649 0.351 0.750

Computed properties:
- Formation energy from the elements: -400.0 meV/atom

(13)
Material: Nb2Ge2Mo
Method: DFT, PBE
State: optimized geometry

Unit cell a=8.169 b=8.169 c=6.359 alpha=90.00 beta=90.00 gamma=155.30
Sites, in units of the cell vectors:
Nb: 0.025 0.975 0.500
Nb: 0.185 0.815 0.903
Nb: 0.815 0.185 0.403
Nb: 0.975 0.025 0.000
Ge: 0.189 0.811 0.400
Ge: 0.429 0.571 0.285
Ge: 0.571 0.429 0.785
Ge: 0.811 0.189 0.900
Mo: 0.400 0.600 0.696
Mo: 0.600 0.400 0.196

Computed properties:
- Relative energy among the computed polymorphs: 139.1 meV per atom
- Formation energy from the elements: -163.3 meV/atom

(14)
Material: MnGe2Ir
Method: DFT, PBE
State: optimized geometry

Unit cell a=4.627 b=4.693 c=5.669 alpha=78.18 beta=88.49 gamma=75.14
Sites, in units of the cell vectors:
Mn: 0.064 0.294 0.447
Mn: 0.936 0.706 0.553
Ge: 0.190 0.799 0.184
Ge: 0.401 0.792 0.662
Ge: 0.599 0.208 0.338
Ge: 0.810 0.201 0.816
Ir: 0.279 0.303 0.958
Ir: 0.721 0.697 0.042

Computed properties:
- Formation energy from the elements: -52.9 meV/atom

(15)
Material: LiTl2Ni
Method: DFT, PBE
State: optimized geometry

Unit cell a=8.159 b=8.159 c=8.159 alpha=25.12 beta=25.12 gamma=25.12
Sites, in units of the cell vectors:
Li: 0.000 0.000 0.000
Tl: 0.240 0.240 0.240
Tl: 0.760 0.760 0.760
Ni: 0.500 0.500 0.500

Computed properties:
- Formation energy from the elements: 121.3 meV/atom

(16)
Material: PaBeOs2
Method: DFT, PBE
State: optimized geometry

Unit cell a=4.551 b=4.551 c=4.551 alpha=60.00 beta=60.00 gamma=60.00
Sites, in units of the cell vectors:
Pa: 0.000 0.000 0.000
Be: 0.500 0.500 0.500
Os: 0.250 0.250 0.250
Os: 0.750 0.750 0.750

Computed properties:
- Relative energy among the computed polymorphs: 219.6 meV per atom
- Formation energy from the elements: 74.1 meV/atom

(17)
Material: ScInAu2
Method: DFT, PBE
State: optimized geometry

Unit cell a=3.576 b=3.656 c=6.212 alpha=90.00 beta=90.00 gamma=90.00
Sites, in units of the cell vectors:
Sc: 0.000 0.000 0.000
In: 0.500 0.500 0.691
Au: 0.000 0.000 0.474
Au: 0.500 0.500 0.202

Computed properties:
- Formation energy from the elements: -439.4 meV/atom

(18)
Material: BaS3N
Method: DFT, PBE
State: optimized geometry

Unit cell a=6.234 b=6.234 c=6.234 alpha=90.00 beta=90.00 gamma=90.00
Sites, in units of the cell vectors:
Ba: 0.000 0.000 0.000
S: 0.000 0.000 0.500
S: 0.000 0.500 0.000
S: 0.500 0.000 0.000
N: 0.500 0.500 0.500

Computed properties:
- Formation energy without anion corrections: 1.34 eV per atom
- Relative energy among the computed polymorphs: 1144.2 meV per atom

(19)
Material: Li2PrGe
Method: DFT, PBE
State: optimized geometry

Unit cell a=4.386 b=4.386 c=9.608 alpha=90.00 beta=90.00 gamma=120.00
Sites, in units of the cell vectors:
Li: 0.333 0.667 0.065
Li: 0.333 0.667 0.435
Li: 0.667 0.333 0.565
Li: 0.667 0.333 0.935
Pr: 0.333 0.667 0.750
Pr: 0.667 0.333 0.250
Ge: 0.000 0.000 0.000
Ge: 0.000 0.000 0.500

Computed properties:
- Formation energy from the elements: -354.6 meV/atom

(20)
Material: CeYCuSi
Method: DFT, PBE
State: optimized geometry

Unit cell a=4.992 b=4.992 c=4.992 alpha=60.00 beta=60.00 gamma=60.00
Sites, in units of the cell vectors:
Ce: 0.000 0.000 0.000
Y: 0.500 0.500 0.500
Cu: 0.250 0.250 0.250
Si: 0.750 0.750 0.750

Computed properties:
- Formation energy without anion corrections: -0.35 eV per atom

(21)
Material: Tb15Er4Tl
Method: DFT, PBE
State: optimized geometry

Unit cell a=4.969 b=4.969 c=25.172 alpha=90.00 beta=90.00 gamma=90.00
Sites, in units of the cell vectors:
Tb: 0.000 0.000 0.000
Tb: 0.000 0.000 0.197
Tb: 0.000 0.000 0.399
Tb: 0.000 0.000 0.601
Tb: 0.000 0.000 0.803
Tb: 0.000 0.500 0.098
Tb: 0.000 0.500 0.299
Tb: 0.000 0.500 0.500
Tb: 0.000 0.500 0.701
Tb: 0.000 0.500 0.902
Tb: 0.500 0.000 0.098
Tb: 0.500 0.000 0.299
Tb: 0.500 0.000 0.500
Tb: 0.500 0.000 0.701
Tb: 0.500 0.000 0.902
Er: 0.500 0.500 0.198
Er: 0.500 0.500 0.399
Er: 0.500 0.500 0.601
Er: 0.500 0.500 0.802
Tl: 0.500 0.500 0.000

Computed properties:
- Formation energy from the elements: -20.1 meV/atom

(22)
Material: TeI2N2
Method: DFT, PBE
State: optimized geometry

Unit cell a=6.679 b=6.679 c=6.679 alpha=143.62 beta=143.62 gamma=52.39
Sites, in units of the cell vectors:
Te: 0.000 0.000 0.000
I: 0.334 0.334 0.000
I: 0.666 0.666 0.000
N: 0.250 0.750 0.500
N: 0.750 0.250 0.500

Computed properties:
- Formation energy without anion corrections: 1.66 eV per atom
- Relative energy among the computed polymorphs: 1668.3 meV per atom

(23)
Material: In2SbAu
Method: DFT, PBE
State: optimized geometry

Unit cell a=6.907 b=6.907 c=6.907 alpha=36.45 beta=36.45 gamma=36.45
Sites, in units of the cell vectors:
In: 0.241 0.241 0.241
In: 0.759 0.759 0.759
Sb: 0.000 0.000 0.000
Au: 0.500 0.500 0.500

Computed properties:
- Formation energy without anion corrections: -0.06 eV per atom
- Relative energy among the computed polymorphs: 15.5 meV per atom

(24)
Material: Sc3Pt2Rh2
Method: DFT, PBE
State: optimized geometry

Unit cell a=4.434 b=4.594 c=7.330 alpha=84.16 beta=72.49 gamma=61.15
Sites, in units of the cell vectors:
Sc: 0.000 0.000 0.000
Sc: 0.185 0.356 0.275
Sc: 0.815 0.644 0.725
Pt: 0.187 0.011 0.614
Pt: 0.813 0.989 0.386
Rh: 0.404 0.322 0.871
Rh: 0.596 0.678 0.129

Computed properties:
- Formation energy from the elements: -967.8 meV/atom

(25)
Material: Rb3MgI6
Method: DFT, PBE
State: optimized geometry

Unit cell a=8.987 b=8.987 c=8.987 alpha=60.00 beta=60.00 gamma=60.00
Sites, in units of the cell vectors:
Rb: 0.000 0.000 0.000
Rb: 0.250 0.250 0.250
Rb: 0.750 0.750 0.750
Mg: 0.500 0.500 0.500
I: 0.273 0.273 0.727
I: 0.273 0.727 0.273
I: 0.273 0.727 0.727
I: 0.727 0.273 0.273
I: 0.727 0.273 0.727
I: 0.727 0.727 0.273

Computed properties:
- Formation energy without anion corrections: -1.07 eV per atom
- Relative energy among the computed polymorphs: 119.9 meV per atom

no.,DOS at the Fermi energy (states/eV/cell)
1,32.27
2,6.08
3,7.52
4,8.92
5,0.95
6,8.86
7,4.76
8,10.82
9,3.67
10,22.45
11,2.29
12,17.32
13,3.50
14,3.22
15,1.49
16,2.04
17,1.71
18,5.00
19,1.36
20,8.51
21,24.56
22,3.76
23,2.04
24,3.48
25,20.81